[1]
First-principles (SCAN) data for a crystal of CaZr2Cu relaxed with PBEsol, as listed in Alexandria.

Properties
Formation energy: 0.43 eV/atom
Symmetry: I-4m2

a = 5.373 Å, b = 5.373 Å, c = 5.373 Å
α = 132.21°, β = 132.21°, γ = 69.90°
Element x y z (fractional)
Ca1 0.000 0.000 0.000
Zr1 0.250 0.750 0.500
Zr2 0.500 0.500 0.000
Cu1 0.750 0.250 0.500

[2]
First-principles (SCAN) data for a crystal of Mg3AuI relaxed with PBEsol, as listed in Alexandria.

Properties
E_form (uncorrected): 0.821 eV/atom
Symmetry: Pm-3m

a = 5.447 Å, b = 5.447 Å, c = 5.447 Å
α = 90.00°, β = 90.00°, γ = 90.00°
Element x y z (fractional)
Mg1 0.000 0.000 0.500
Mg2 0.000 0.500 0.000
Mg3 0.500 0.000 0.000
Au1 0.500 0.500 0.500
I1 0.000 0.000 0.000

[3]
First-principles (SCAN) data for a crystal of Sr3HfIr relaxed with PBEsol, as listed in Alexandria.

Properties
Formation energy: 0.65 eV/atom
Symmetry: Pm-3m

a = 5.655 Å, b = 5.655 Å, c = 5.655 Å
α = 90.00°, β = 90.00°, γ = 90.00°
Element x y z (fractional)
Sr1 0.000 0.000 0.500
Sr2 0.000 0.500 0.000
Sr3 0.500 0.000 0.000
Hf1 0.500 0.500 0.500
Ir1 0.000 0.000 0.000

[4]
First-principles (SCAN) data for a crystal of TcGeNO2 relaxed with PBEsol, as listed in Alexandria.

Properties
E_form (uncorrected): -0.107 eV/atom
Symmetry: P4/mmm

a = 3.620 Å, b = 3.620 Å, c = 3.955 Å
α = 90.00°, β = 90.00°, γ = 90.00°
Element x y z (fractional)
Tc1 0.000 0.000 0.000
Ge1 0.500 0.500 0.500
N1 0.500 0.500 0.000
O1 0.000 0.500 0.500
O2 0.500 0.000 0.500

[5]
First-principles (SCAN) data for a crystal of Hf8Ni4N relaxed with PBEsol, as listed in Alexandria.

Properties
E_form (uncorrected): -0.664 eV/atom
Symmetry: Imma

a = 8.432 Å, b = 8.432 Å, c = 8.432 Å
α = 120.05°, β = 119.90°, γ = 90.04°
Element x y z (fractional)
Hf1 0.000 0.000 0.000
Hf2 0.000 0.000 0.500
Hf3 0.000 0.500 0.000
Hf4 0.188 0.438 0.750
Hf5 0.191 0.438 0.376
Hf6 0.191 0.815 0.753
Hf7 0.438 0.185 0.876
Hf8 0.438 0.562 0.253
Hf9 0.441 0.191 0.250
Hf10 0.500 0.000 0.500
Hf11 0.559 0.809 0.750
Hf12 0.562 0.438 0.747
Hf13 0.562 0.815 0.124
Hf14 0.809 0.185 0.247
Hf15 0.809 0.562 0.624
Hf16 0.812 0.562 0.250
Ni1 0.150 0.218 0.931
Ni2 0.213 0.782 0.431
Ni3 0.218 0.158 0.441
Ni4 0.218 0.777 0.059
Ni5 0.782 0.223 0.941
Ni6 0.782 0.842 0.559
Ni7 0.787 0.218 0.569
Ni8 0.850 0.782 0.069
N1 0.500 0.000 0.000
N2 0.500 0.500 0.500

[6]
First-principles (SCAN) data for a crystal of Mg30ZnCuO32 relaxed with PBEsol, as listed in Alexandria.

Properties
E_form (uncorrected): -2.890 eV/atom
Symmetry: P4/mmm

a = 8.442 Å, b = 8.442 Å, c = 8.431 Å
α = 90.00°, β = 90.00°, γ = 90.00°
Element x y z (fractional)
Mg1 0.000 0.000 0.000
Mg2 0.000 0.000 0.500
Mg3 0.000 0.250 0.250
Mg4 0.000 0.250 0.750
Mg5 0.000 0.500 0.000
Mg6 0.000 0.500 0.500
Mg7 0.000 0.750 0.250
Mg8 0.000 0.750 0.750
Mg9 0.250 0.000 0.250
Mg10 0.250 0.000 0.750
Mg11 0.250 0.250 0.000
Mg12 0.250 0.750 0.000
Mg13 0.251 0.251 0.500
Mg14 0.251 0.500 0.251
Mg15 0.251 0.500 0.749
Mg16 0.251 0.749 0.500
Mg17 0.500 0.000 0.000
Mg18 0.500 0.000 0.500
Mg19 0.500 0.251 0.251
Mg20 0.500 0.251 0.749
Mg21 0.500 0.749 0.251
Mg22 0.500 0.749 0.749
Mg23 0.749 0.251 0.500
Mg24 0.749 0.500 0.251
Mg25 0.749 0.500 0.749
Mg26 0.749 0.749 0.500
Mg27 0.750 0.000 0.250
Mg28 0.750 0.000 0.750
Mg29 0.750 0.250 0.000
Mg30 0.750 0.750 0.000
Zn1 0.500 0.500 0.000
Cu1 0.500 0.500 0.500
O1 0.000 0.000 0.250
O2 0.000 0.000 0.750
O3 0.000 0.250 0.000
O4 0.000 0.250 0.500
O5 0.000 0.500 0.250
O6 0.000 0.500 0.750
O7 0.000 0.750 0.000
O8 0.000 0.750 0.500
O9 0.246 0.500 0.500
O10 0.248 0.500 0.000
O11 0.250 0.000 0.000
O12 0.250 0.000 0.500
O13 0.251 0.251 0.250
O14 0.251 0.251 0.750
O15 0.251 0.749 0.250
O16 0.251 0.749 0.750
O17 0.500 0.000 0.250
O18 0.500 0.000 0.750
O19 0.500 0.246 0.500
O20 0.500 0.248 0.000
O21 0.500 0.500 0.252
O22 0.500 0.500 0.748
O23 0.500 0.752 0.000
O24 0.500 0.754 0.500
O25 0.749 0.251 0.250
O26 0.749 0.251 0.750
O27 0.749 0.749 0.250
O28 0.749 0.749 0.750
O29 0.750 0.000 0.000
O30 0.750 0.000 0.500
O31 0.752 0.500 0.000
O32 0.754 0.500 0.500

[7]
First-principles (SCAN) data for a crystal of BaY2S4 relaxed with PBEsol, as listed in Alexandria.

Properties
E_form (uncorrected): -2.475 eV/atom
Symmetry: Pnma

a = 12.095 Å, b = 4.005 Å, c = 14.386 Å
α = 90.00°, β = 90.00°, γ = 90.00°
Element x y z (fractional)
Ba1 0.243 0.250 0.162
Ba2 0.257 0.750 0.662
Ba3 0.743 0.250 0.338
Ba4 0.757 0.750 0.838
Y1 0.070 0.250 0.392
Y2 0.078 0.250 0.898
Y3 0.422 0.750 0.398
Y4 0.430 0.750 0.892
Y5 0.570 0.250 0.108
Y6 0.578 0.250 0.602
Y7 0.922 0.750 0.102
Y8 0.930 0.750 0.608
S1 0.021 0.750 0.782
S2 0.080 0.250 0.578
S3 0.126 0.750 0.022
S4 0.208 0.750 0.335
S5 0.292 0.250 0.835
S6 0.374 0.250 0.522
S7 0.420 0.750 0.078
S8 0.479 0.250 0.282
S9 0.521 0.750 0.718
S10 0.580 0.250 0.922
S11 0.626 0.750 0.478
S12 0.708 0.750 0.165
S13 0.792 0.250 0.665
S14 0.874 0.250 0.978
S15 0.920 0.750 0.422
S16 0.979 0.250 0.218

[8]
First-principles (SCAN) data for a crystal of EuSiPd relaxed with PBEsol, as listed in Alexandria.

Properties
E_form (uncorrected): -0.870 eV/atom
Symmetry: P2_13

a = 6.351 Å, b = 6.351 Å, c = 6.351 Å
α = 90.00°, β = 90.00°, γ = 90.00°
Element x y z (fractional)
Eu1 0.122 0.122 0.122
Eu2 0.378 0.878 0.622
Eu3 0.622 0.378 0.878
Eu4 0.878 0.622 0.378
Si1 0.171 0.329 0.671
Si2 0.329 0.671 0.171
Si3 0.671 0.171 0.329
Si4 0.829 0.829 0.829
Pd1 0.084 0.584 0.916
Pd2 0.416 0.416 0.416
Pd3 0.584 0.916 0.084
Pd4 0.916 0.084 0.584

[9]
First-principles (SCAN) data for a crystal of SiIr3O relaxed with PBEsol, as listed in Alexandria.

Properties
E_form (uncorrected): 1.534 eV/atom
Symmetry: Pm-3m

a = 4.386 Å, b = 4.386 Å, c = 4.386 Å
α = 90.00°, β = 90.00°, γ = 90.00°
Element x y z (fractional)
Si1 0.000 0.000 0.000
Ir1 0.000 0.000 0.500
Ir2 0.000 0.500 0.000
Ir3 0.500 0.000 0.000
O1 0.500 0.500 0.500

[10]
First-principles (SCAN) data for a crystal of TbMg16Al12 relaxed with PBEsol, as listed in Alexandria.

Properties
Formation energy: -0.07 eV/atom
Symmetry: R3m

a = 9.137 Å, b = 9.137 Å, c = 9.137 Å
α = 109.97°, β = 109.97°, γ = 109.97°
Element x y z (fractional)
Tb1 0.000 0.000 0.000
Mg1 0.021 0.315 0.627
Mg2 0.021 0.627 0.315
Mg3 0.235 0.235 0.905
Mg4 0.235 0.905 0.235
Mg5 0.282 0.625 0.625
Mg6 0.315 0.021 0.627
Mg7 0.315 0.627 0.021
Mg8 0.344 0.943 0.943
Mg9 0.625 0.282 0.625
Mg10 0.625 0.625 0.282
Mg11 0.626 0.626 0.626
Mg12 0.627 0.021 0.315
Mg13 0.627 0.315 0.021
Mg14 0.905 0.235 0.235
Mg15 0.943 0.344 0.943
Mg16 0.943 0.943 0.344
Al1 0.253 0.253 0.438
Al2 0.253 0.438 0.253
Al3 0.438 0.253 0.253
Al4 0.438 0.438 0.801
Al5 0.438 0.801 0.438
Al6 0.629 0.814 0.993
Al7 0.629 0.993 0.814
Al8 0.801 0.438 0.438
Al9 0.814 0.629 0.993
Al10 0.814 0.993 0.629
Al11 0.993 0.629 0.814
Al12 0.993 0.814 0.629

Number 1: V 83.5 Å³ per cell, VASP energy -84.54 eV/f.u.. Number 2: V 161.6 Å³ per cell, VASP energy -116.71 eV/f.u.. Number 3: V 180.8 Å³ per cell, VASP energy -197.37 eV/f.u.. Number 4: V 51.8 Å³ per cell, VASP energy -76.44 eV/f.u.. Number 5: V 424.1 Å³ per cell, VASP energy -584.01 eV/f.u.. Number 6: V 600.9 Å³ per cell, VASP energy -562.29 eV/f.u.. Number 7: V 696.9 Å³ per cell, VASP energy -151.07 eV/f.u.. Number 8: V 256.2 Å³ per cell, VASP energy -99.11 eV/f.u.. Number 9: V 84.4 Å³ per cell, VASP energy -221.87 eV/f.u.. Number 10: V 576.3 Å³ per cell, VASP energy -221.39 eV/f.u..